[1]
DFT (PBE) results for crystalline Li2Al2Cd at its relaxed geometry.

## Properties
E_tot = -2.407 eV per atom
Polymorph energy (0 for the lowest one) = 0.156 eV/atom
Symmetry = No. 139
Crystal system = tetragonal

The structure in POSCAR format:
```
Li2Al2Cd
1.0
-1.8733 1.8733 6.9741
1.8733 -1.8733 6.9741
1.8733 1.8733 -6.9741
Li Al Cd
2 2 1
Cartesian
0.0000 0.0000 8.3372
0.0000 0.0000 5.6110
1.8733 0.0000 3.4870
0.0000 1.8733 3.4870
0.0000 0.0000 0.0000
```

[2]
DFT (PBE) results for crystalline Li4AlCd7 at its relaxed geometry.

## Properties
E_tot = -1.643 eV per atom
Polymorph energy (0 for the lowest one) = 0.000 eV/atom
Symmetry = No. 164
Crystal system = trigonal

The structure in POSCAR format:
```
Li4AlCd7
1.0
-0.9537 4.6143 -0.6185
-1.2008 -3.1450 -3.3543
-10.5025 -1.4806 5.1480
Li Al Cd
4 1 7
Cartesian
-10.6935 -1.9084 2.2511
-1.9634 1.8971 -1.0759
-7.9956 -1.5280 0.9287
-4.6613 1.5168 0.2466
-5.2512 -0.7403 2.5740
0.0000 0.0000 0.0000
-5.4132 -1.1640 -0.3372
-7.2437 1.1528 1.5124
-2.7303 -0.7858 -1.6522
-9.9266 0.7745 2.8275
-7.8268 -1.1034 3.8365
-2.6757 -0.3772 1.3116
```

[3]
DFT (PBE) results for crystalline Li5AlCd4 at its relaxed geometry.

## Properties
E_tot = -1.907 eV per atom
Symmetry = No. 123
Crystal system = tetragonal

The structure in POSCAR format:
```
Li5AlCd4
1.0
-0.7822 -3.1450 0.7309
3.2235 -0.7175 0.3626
-0.8960 3.8403 15.5654
Li Al Cd
5 1 4
Cartesian
1.1332 -1.5566 2.0653
0.9521 -0.7804 5.2112
0.7726 -0.0111 8.3294
0.5931 0.7582 11.4477
0.4120 1.5344 14.5936
0.0000 0.0000 0.0000
-0.1779 0.7623 3.0899
-0.3582 1.5353 6.2228
-0.5378 2.3050 9.3425
-0.7181 3.0780 12.4755
```

[4]
DFT (PBE) results for crystalline Li3AlCd at its relaxed geometry.

## Properties
E_tot = -1.763 eV per atom
Polymorph energy (0 for the lowest one) = 0.513 eV/atom
Symmetry = No. 221
Crystal system = cubic

The structure in POSCAR format:
```
Li3AlCd
1.0
4.9566 0.0000 0.0000
0.0000 4.9566 0.0000
0.0000 0.0000 4.9566
Li Al Cd
3 1 1
Cartesian
0.0000 2.4783 0.0000
0.0000 0.0000 2.4783
2.4783 0.0000 0.0000
0.0000 0.0000 0.0000
2.4783 2.4783 2.4783
```